{
  "formula": "NaDyO2",
  "functional": "GGA-PBE",
  "state": "relaxed",
  "total_magnetization_mub_per_atom": 0.000,
  "vol_a3_per_cell": 215.09,
  "dft_energy_ev_per_cell": -108.148,
  "spacegroup": "C2/c (15)",
  "cell": [[3.3094, -6.5826, 0.0000], [3.3094, 6.5826, 0.0000], [-3.2208, 0.0000, 4.9367]],
  "species": ["O", "O", "O", "O", "O", "O", "O", "O", "Dy", "Dy", "Dy", "Dy", "Na", "Na", "Na", "Na"],
  "fractional_positions": [[0.7720, 0.6455, 0.2114], [0.0814, 0.4575, 0.2877], [0.3545, 0.2280, 0.2886], [0.9186, 0.5425, 0.7123], [0.6455, 0.7720, 0.7114], [0.5425, 0.9186, 0.2123], [0.2280, 0.3545, 0.7886], [0.4575, 0.0814, 0.7877], [0.6934, 0.3066, 0.2500], [0.4325, 0.5675, 0.2500], [0.3066, 0.6934, 0.7500], [0.5675, 0.4325, 0.7500], [0.0563, 0.9437, 0.7500], [0.9437, 0.0563, 0.2500], [0.8205, 0.1795, 0.7500], [0.1795, 0.8205, 0.2500]]
}